Material: CeScTc4
Method: DFT, PBE-GGA
State: relaxed

Unit cell a=5.357 b=5.357 c=5.357 alpha=60.00 beta=60.00 gamma=60.00
Positions (direct):
Tc 0.625 0.625 0.625
Tc 0.625 0.124 0.625
Tc 0.625 0.625 0.124
Sc 0.000 0.000 0.000
Ce 0.250 0.250 0.250
Tc 0.124 0.625 0.625

Properties
The calculation puts the total magnetization at 0.00 μB per cell. As for the energy of formation from the pure elements: -95 meV per atom.

Material: Ce2Sc8Tc
Method: DFT, PBE-GGA
State: relaxed

Unit cell a=5.049 b=6.381 c=8.696 alpha=82.89 beta=106.88 gamma=90.00
Site moments in Bohr magnetons follow the coordinates.
Positions (direct):
Ce 0.214 0.359 0.428  0.36
Sc 0.645 0.104 0.290  0.02
Sc 0.162 0.841 0.325  0.02
Sc 0.414 0.388 0.829  0.01
Sc 0.355 0.896 0.710  0.02
Sc 0.027 0.232 0.054  0.02
Tc 0.500 0.000 0.000  0.00
Sc 0.838 0.159 0.675  0.02
Sc 0.973 0.768 0.946  0.02
Sc 0.586 0.612 0.171  0.01
Ce 0.786 0.641 0.572  0.36

Properties
The calculation puts the total magnetization at 1.08 μB per cell. As for the energy of formation from the pure elements: 8 meV per atom.

Material: Ce2ScTc
Method: DFT, PBE-GGA
State: relaxed

Unit cell a=3.173 b=3.173 c=10.666 alpha=81.45 beta=81.45 gamma=60.00
Site moments in Bohr magnetons follow the coordinates.
Positions (direct):
Ce 0.904 0.904 0.287  0.22
Ce 0.096 0.096 0.713  0.22
Sc 0.000 0.000 0.000  -0.01
Tc 0.500 0.500 0.500  0.01

Properties
The calculation puts the total magnetization at 0.56 μB per cell. As for the energy of formation from the pure elements: 248 meV per atom. As for the energy above the most stable polymorph in this dataset: 193 meV/atom.

Material: Ce2ScTc
Method: DFT, PBE-GGA
State: relaxed

Unit cell a=3.419 b=3.419 c=8.188 alpha=90.00 beta=90.00 gamma=90.00
Site moments in Bohr magnetons follow the coordinates.
Positions (direct):
Ce 0.000 0.000 0.212  0.25
Ce 0.000 0.000 0.788  0.25
Tc 0.500 0.500 0.000  -0.03
Sc 0.500 0.500 0.500  0.10

Properties
The calculation puts the total magnetization at 0.74 μB per cell. As for the energy of formation from the pure elements: 55 meV per atom. As for the energy above the most stable polymorph in this dataset: 0 meV/atom.

Question: The highest energy of formation from the pure elements belongs to which entry?
Answer: number 3